The following is a DFT calculation (PBE+U) of a relaxed structure of VIn2F6.

Unit cell a=5.9186 b=7.6449 c=7.0438 alpha=90.00 beta=87.63 gamma=90.00
Last column: magnetic moment on the atom in μB.
Element x y z (fractional)
V 0.5000 0.5000 0.0000  1.90
V 0.0000 0.0000 0.5000  1.90
In 0.9922 0.4659 0.7174  -0.03
In 0.5078 0.9659 0.7826  -0.03
In 0.4922 0.0341 0.2174  -0.03
In 0.0078 0.5341 0.2826  -0.03
F 0.1387 0.1462 0.2993  -0.01
F 0.0836 0.1718 0.6887  -0.01
F 0.1830 0.4007 0.9861  -0.01
F 0.3170 0.9007 0.5139  -0.01
F 0.4164 0.6718 0.8113  -0.01
F 0.3613 0.6462 0.2007  -0.01
F 0.8613 0.8538 0.7007  -0.01
F 0.9164 0.8282 0.3113  -0.01
F 0.8170 0.5993 0.0139  -0.01
F 0.6830 0.0993 0.4861  -0.01
F 0.5836 0.3282 0.1887  -0.01
F 0.6387 0.3538 0.7993  -0.01

- Theoretical density: 4.1 g cm⁻³
- Uncorrected energy: -90.36 eV per cell
- Space group: P2_1/c